[1]
Rb2YU3O12: optimized geometry, PBE.

Cell and atoms, written as POSCAR:
```
Rb2YU3O12
1.0
-1.888 -7.353 1.989
1.581 -5.737 -5.116
5.820 -4.979 1.710
Rb U O Y
2 3 12 1
direct
0.377 0.377 0.377
0.623 0.623 0.623
0.000 0.500 0.000
0.000 0.000 0.500
0.500 0.000 0.000
0.690 0.071 0.690
0.071 0.071 0.662
0.310 0.310 0.929
0.929 0.929 0.338
0.071 0.690 0.690
0.690 0.690 0.071
0.071 0.662 0.071
0.310 0.929 0.310
0.662 0.071 0.071
0.929 0.310 0.310
0.338 0.929 0.929
0.929 0.338 0.929
0.000 0.000 0.000
```

Calculated values
VASP energy: -8.541 eV per atom

***

[2]
Rb2UZn2O6: optimized geometry, PBE.

Cell and atoms, written as POSCAR:
```
Rb2UZn2O6
1.0
6.148 0.000 0.000
3.074 5.324 0.000
3.074 1.775 6.041
Zn O U Rb
2 6 1 2
direct
0.596 0.596 0.213
0.404 0.404 0.787
0.773 0.243 0.211
0.227 0.227 0.789
0.773 0.773 0.211
0.243 0.773 0.211
0.227 0.757 0.789
0.757 0.227 0.789
0.000 0.000 0.000
0.211 0.211 0.367
0.789 0.789 0.633
```

Calculated values
VASP energy: -6.234 eV per atom

***

[3]
Rb2U3ZnO12: optimized geometry, PBE.

Cell and atoms, written as POSCAR:
```
Rb2U3ZnO12
1.0
-2.313 0.727 -7.132
-7.412 -0.724 -1.136
-3.709 6.354 -1.616
O Rb Zn U
12 2 1 3
direct
0.936 0.316 0.936
0.684 0.064 0.064
0.939 0.320 0.320
0.320 0.320 0.939
0.061 0.680 0.680
0.316 0.936 0.936
0.064 0.684 0.064
0.064 0.064 0.684
0.320 0.939 0.320
0.680 0.680 0.061
0.936 0.936 0.316
0.680 0.061 0.680
0.368 0.368 0.368
0.632 0.632 0.632
0.000 0.000 0.000
0.000 0.000 0.500
0.000 0.500 0.000
0.500 0.000 0.000
```

Calculated values
VASP energy: -7.849 eV per atom

***

[4]
Rb3U2ZnO9: optimized geometry, PBE.

Cell and atoms, written as POSCAR:
```
Rb3U2ZnO9
1.0
-1.027 -3.218 -5.012
5.040 3.299 0.493
3.484 -5.768 2.990
O Rb U Zn
9 3 2 1
direct
0.172 0.344 0.327
0.500 0.000 0.000
0.172 0.828 0.327
0.828 0.172 0.673
0.000 0.500 0.000
0.344 0.172 0.673
0.656 0.828 0.327
0.500 0.500 0.000
0.828 0.656 0.673
0.333 0.667 0.660
0.667 0.333 0.340
0.000 0.000 0.000
0.333 0.667 0.176
0.667 0.333 0.824
0.000 0.000 0.500
```

Calculated values
VASP energy: -7.113 eV per atom

***

[5]
RbZrUO6: optimized geometry, PBE.

Cell and atoms, written as POSCAR:
```
RbZrUO6
1.0
7.708 0.000 0.000
0.000 8.034 0.000
-3.854 -4.017 5.507
U Zr O Rb
2 2 12 2
direct
0.500 0.000 0.000
0.500 0.500 0.000
0.500 0.000 0.500
0.000 0.000 0.500
0.566 0.316 0.132
0.809 0.061 0.243
0.434 0.061 0.243
0.191 0.939 0.757
0.434 0.682 0.243
0.566 0.318 0.757
0.809 0.682 0.243
0.566 0.939 0.757
0.818 0.068 0.635
0.191 0.318 0.757
0.434 0.684 0.868
0.182 0.932 0.365
0.904 0.654 0.807
0.096 0.346 0.193
```

Calculated values
VASP energy: -8.325 eV per atom

***

[6]
RbZr2UO8: optimized geometry, PBE.

Cell and atoms, written as POSCAR:
```
RbZr2UO8
1.0
5.160 0.074 -0.003
0.127 5.152 -0.005
0.006 0.009 7.099
O Zr Rb U
8 2 1 1
direct
0.206 0.793 0.194
0.794 0.207 0.806
0.642 0.643 0.500
0.689 0.690 0.000
0.794 0.207 0.194
0.311 0.310 0.000
0.206 0.793 0.806
0.358 0.357 0.500
0.500 0.500 0.233
0.500 0.500 0.767
0.000 0.000 0.500
0.000 0.000 0.000
```

Calculated values
VASP energy: -8.473 eV per atom

***

[7]
Rb2Zr3UO12: optimized geometry, PBE.

Cell and atoms, written as POSCAR:
```
Rb2Zr3UO12
1.0
7.865 0.075 0.053
3.949 6.802 0.053
3.949 2.299 6.402
Rb Zr O U
2 3 12 1
direct
0.617 0.617 0.617
0.383 0.383 0.383
0.000 0.500 0.000
0.500 0.000 0.000
0.000 0.000 0.500
0.064 0.064 0.690
0.690 0.064 0.064
0.681 0.681 0.067
0.064 0.690 0.064
0.936 0.936 0.310
0.936 0.310 0.936
0.933 0.319 0.319
0.067 0.681 0.681
0.310 0.936 0.936
0.319 0.319 0.933
0.319 0.933 0.319
0.681 0.067 0.681
0.000 0.000 0.000
```

Calculated values
VASP energy: -7.879 eV per atom

***

[8]
Rb2ZrU3O12: optimized geometry, PBE.

Cell and atoms, written as POSCAR:
```
Rb2ZrU3O12
1.0
-2.708 -6.510 3.244
-1.146 -6.176 -4.559
4.828 -6.036 0.708
O Rb U Zr
12 2 3 1
direct
0.683 0.683 0.066
0.683 0.066 0.683
0.064 0.064 0.683
0.934 0.317 0.317
0.317 0.317 0.934
0.066 0.683 0.683
0.064 0.683 0.064
0.936 0.936 0.317
0.317 0.934 0.317
0.936 0.317 0.936
0.317 0.936 0.936
0.683 0.064 0.064
0.373 0.373 0.373
0.627 0.627 0.627
0.000 0.000 0.500
0.500 0.000 0.000
0.000 0.500 0.000
0.000 0.000 0.000
```

Calculated values
VASP energy: -8.749 eV per atom

***

How do the records compare in M_tot? In the order shown, they have 0.00; 0.00; 0.00; 0.00; 0.45; 1.00; 4.00; 0.00 μB per formula unit.